Entry from Alexandria: a geometry-optimized LiFe8O12 structure (PBE with a Hubbard U).

Output
energy above the most stable polymorph in this dataset	171	meV/atom
space-group type	P2
total magnetic moment	31.0	μB per formula unit
V	11.4	Å³ per atom

Lattice parameters (Å, degrees): 5.2669 5.3083 8.8792 90.00 105.94 90.00
Positions (direct):
Li1 0.0000 0.0000 0.0000
Fe1 0.0213 0.4878 0.1957
Fe2 0.1675 0.9518 0.4169
Fe3 0.3346 0.4372 0.5816
Fe4 0.4672 0.8954 0.7992
Fe5 0.5328 0.8954 0.2008
Fe6 0.6654 0.4372 0.4184
Fe7 0.8325 0.9518 0.5831
Fe8 0.9787 0.4878 0.8043
O1 0.0000 0.3531 0.0000
O2 0.0000 0.6568 0.5000
O3 0.1623 0.8287 0.2062
O4 0.1984 0.0836 0.6320
O5 0.2823 0.2906 0.3570
O6 0.3305 0.5632 0.7932
O7 0.5000 0.0135 0.0000
O8 0.5000 0.7766 0.5000
O9 0.6695 0.5632 0.2068
O10 0.7177 0.2906 0.6430
O11 0.8016 0.0836 0.3680
O12 0.8377 0.8287 0.7938